# PBE NaCrPb3, relaxed
# distance to the lowest polymorph of the same formula: 5.623 eV per formula unit
# ρ: 7.41 g/cm³
# DFT formation energy: 1.418 eV per atom
# magnetic moment: 0.1526 μB per atom
# DFT total energy: -2.995 eV/atom
data_NaCrPb3
_chemical_formula_sum 'Na1 Cr1 Pb3'
_cell_length_a 5.385
_cell_length_b 5.385
_cell_length_c 5.385
_cell_angle_alpha 90.00
_cell_angle_beta 90.00
_cell_angle_gamma 90.00
_symmetry_space_group_name_H-M 'P m -3 m'
_symmetry_Int_Tables_number 221
_symmetry_space_group_name_Hall '-P 4 2 3'
loop_
_atom_site_label
_atom_site_fract_x
_atom_site_fract_y
_atom_site_fract_z
Na1 0.000 0.000 0.000
Cr1 0.500 0.500 0.500
Pb1 0.000 0.000 0.500

---

# PBE Tb5Tl6Ag, relaxed
# ρ: 10.94 g/cm³
# DFT formation energy: -0.284 eV per atom
# magnetic moment: 0.0000 μB per atom
# DFT total energy: -3.634 eV/atom
data_Tb5Tl6Ag
_chemical_formula_sum 'Tb10 Tl12 Ag2'
_cell_length_a 5.226
_cell_length_b 7.643
_cell_length_c 16.181
_cell_angle_alpha 90.00
_cell_angle_beta 90.00
_cell_angle_gamma 90.00
_symmetry_space_group_name_H-M 'I m m m'
_symmetry_Int_Tables_number 71
_symmetry_space_group_name_Hall '-I 2 2'
loop_
_atom_site_label
_atom_site_fract_x
_atom_site_fract_y
_atom_site_fract_z
Tb1 0.000 0.000 0.000
Tb2 0.000 0.000 0.350
Tb3 0.000 0.500 0.327
Tl1 0.000 0.249 0.165
Tl2 0.000 0.256 0.500
Ag1 0.000 0.500 0.000

---

# PBE AcZnSn, relaxed
# distance to the lowest polymorph of the same formula: 0.923 eV per formula unit
# ρ: 8.07 g/cm³
# DFT formation energy: -0.289 eV per atom
# magnetic moment: 0.0000 μB per atom
# DFT total energy: -3.417 eV/atom
data_AcZnSn
_chemical_formula_sum 'Ac2 Zn2 Sn2'
_cell_length_a 3.784
_cell_length_b 3.784
_cell_length_c 11.816
_cell_angle_alpha 90.00
_cell_angle_beta 90.00
_cell_angle_gamma 90.00
_symmetry_space_group_name_H-M 'I 4 m m'
_symmetry_Int_Tables_number 107
_symmetry_space_group_name_Hall 'I 4 -2'
loop_
_atom_site_label
_atom_site_fract_x
_atom_site_fract_y
_atom_site_fract_z
Ac1 0.000 0.000 0.000
Zn1 0.000 0.000 0.322
Sn1 0.000 0.000 0.704

---

# PBE Tc2SbAu, relaxed
# ρ: 11.87 g/cm³
# magnetic moment: 0.0000 μB per atom
# DFT total energy: -6.707 eV/atom
data_Tc2SbAu
_chemical_formula_sum 'Tc6 Sb3 Au3'
_cell_length_a 2.9478
_cell_length_b 2.9478
_cell_length_c 28.6980
_cell_angle_alpha 90.00
_cell_angle_beta 90.00
_cell_angle_gamma 120.00
_symmetry_space_group_name_H-M 'R 3 m'
_symmetry_Int_Tables_number 160
_symmetry_space_group_name_Hall 'R 3 -2"'
loop_
_atom_site_label
_atom_site_fract_x
_atom_site_fract_y
_atom_site_fract_z
Tc1 0.0000 0.0000 0.0000
Tc2 0.0000 0.0000 0.2639
Sb1 0.0000 0.0000 0.7477
Au1 0.0000 0.0000 0.5145